A | Entry from Alexandria via LeMat-Bulk: an optimized crystal structure of NdTlSb2 (PBE-GGA). Values from VASP.

The structure in Quantum ESPRESSO input format:
```
&SYSTEM
  ibrav = 0, nat = 4, ntyp = 3
/
ATOMIC_SPECIES
Nd 144.24 Nd.upf
Tl 204.38 Tl.upf
Sb 121.76 Sb.upf
ATOMIC_POSITIONS angstrom
Nd 0.000 0.000 0.000
Tl 2.503 2.503 0.000
Sb 0.000 2.503 2.274
Sb 2.503 0.000 2.274
CELL_PARAMETERS angstrom
5.007 0.000 0.000
0.000 5.007 0.000
0.000 0.000 4.547
```

Values from the calculation:
Total magnetization (μB/f.u.): 0.0
Density (kg/m3): 8627


B | Entry from Alexandria via LeMat-Bulk: an optimized crystal structure of NdTlSb2 (PBE-GGA). Values from VASP.

The structure in Quantum ESPRESSO input format:
```
&SYSTEM
  ibrav = 0, nat = 4, ntyp = 3
/
ATOMIC_SPECIES
Nd 144.24 Nd.upf
Tl 204.38 Tl.upf
Sb 121.76 Sb.upf
ATOMIC_POSITIONS angstrom
Nd 0.000 0.000 0.000
Tl 0.000 0.000 3.314
Sb 2.128 2.128 1.484
Sb 2.128 2.128 5.144
CELL_PARAMETERS angstrom
4.257 0.000 0.000
0.000 4.257 0.000
0.000 0.000 6.627
```

Values from the calculation:
Total magnetization (μB/f.u.): 0.0
Density (kg/m3): 8187


C | Entry from Alexandria via LeMat-Bulk: an optimized crystal structure of NdTlSb2 (PBE-GGA). Values from VASP.

The structure in Quantum ESPRESSO input format:
```
&SYSTEM
  ibrav = 0, nat = 4, ntyp = 3
/
ATOMIC_SPECIES
Nd 144.24 Nd.upf
Tl 204.38 Tl.upf
Sb 121.76 Sb.upf
ATOMIC_POSITIONS angstrom
Nd 0.000 0.000 0.000
Tl 0.000 0.000 11.831
Sb 0.000 0.000 6.007
Sb 0.000 0.000 17.654
CELL_PARAMETERS angstrom
2.222 1.283 7.887
-2.222 1.283 7.887
0.000 -2.566 7.887
```

Values from the calculation:
Total magnetization (μB/f.u.): 0.0
Density (kg/m3): 7288


D | Entry from Alexandria via LeMat-Bulk: an optimized crystal structure of NdTlSb2 (PBE-GGA). Values from VASP.

The structure in Quantum ESPRESSO input format:
```
&SYSTEM
  ibrav = 0, nat = 4, ntyp = 3
/
ATOMIC_SPECIES
Nd 144.24 Nd.upf
Tl 204.38 Tl.upf
Sb 121.76 Sb.upf
ATOMIC_POSITIONS angstrom
Nd 0.000 0.000 0.000
Tl 0.000 0.000 3.248
Sb 0.000 0.000 7.438
Sb 0.000 0.000 10.418
CELL_PARAMETERS angstrom
2.565 1.481 5.964
-2.565 1.481 5.964
0.000 -2.962 5.964
```

Values from the calculation:
Total magnetization (μB/f.u.): 0.0
Density (kg/m3): 7232


Winner for stability: B


A | Entry from Alexandria via LeMat-Bulk: an optimized crystal structure of NdTl2Sb (PBE-GGA). Values from VASP.

The structure in Quantum ESPRESSO input format:
```
&SYSTEM
  ibrav = 0, nat = 4, ntyp = 3
/
ATOMIC_SPECIES
Nd 144.24 Nd.upf
Tl 204.38 Tl.upf
Sb 121.76 Sb.upf
ATOMIC_POSITIONS angstrom
Nd 0.000 0.000 0.000
Tl 0.000 2.402 2.476
Tl 2.402 0.000 2.476
Sb 2.402 2.402 0.000
CELL_PARAMETERS angstrom
4.805 0.000 0.000
0.000 4.805 0.000
0.000 0.000 4.953
```

Values from the calculation:
Total magnetization (μB/f.u.): 0.0
Density (kg/m3): 9800


B | Entry from Alexandria via LeMat-Bulk: an optimized crystal structure of NdTl2Sb (PBE-GGA). Values from VASP.

The structure in Quantum ESPRESSO input format:
```
&SYSTEM
  ibrav = 0, nat = 4, ntyp = 3
/
ATOMIC_SPECIES
Nd 144.24 Nd.upf
Tl 204.38 Tl.upf
Sb 121.76 Sb.upf
ATOMIC_POSITIONS angstrom
Nd 0.000 0.000 0.000
Tl 0.000 0.000 3.228
Tl 0.000 0.000 31.558
Sb 0.000 0.000 17.393
CELL_PARAMETERS angstrom
1.797 1.038 11.595
-1.797 1.038 11.595
0.000 -2.075 11.595
```

Values from the calculation:
Total magnetization (μB/f.u.): 0.0
Density (kg/m3): 8636


Winner for stability: A


A | Entry from Alexandria via LeMat-Bulk: an optimized crystal structure of Nd2TmSb (PBE-GGA). Values from VASP.

The structure in Quantum ESPRESSO input format:
```
&SYSTEM
  ibrav = 0, nat = 4, ntyp = 3
/
ATOMIC_SPECIES
Nd 144.24 Nd.upf
Tm 168.93 Tm.upf
Sb 121.76 Sb.upf
ATOMIC_POSITIONS angstrom
Nd 0.000 2.425 0.000
Nd 2.425 0.000 0.000
Tm 0.000 0.000 2.455
Sb 2.425 2.425 2.455
CELL_PARAMETERS angstrom
4.849 0.000 0.000
0.000 4.849 0.000
0.000 0.000 4.911
```

Values from the calculation:
Total magnetization (μB/f.u.): 0.0
Density (kg/m3): 8330


B | Entry from Alexandria via LeMat-Bulk: an optimized crystal structure of Nd2TmSb (PBE-GGA). Values from VASP.

The structure in Quantum ESPRESSO input format:
```
&SYSTEM
  ibrav = 0, nat = 4, ntyp = 3
/
ATOMIC_SPECIES
Nd 144.24 Nd.upf
Tm 168.93 Tm.upf
Sb 121.76 Sb.upf
ATOMIC_POSITIONS angstrom
Nd 0.000 0.000 6.668
Nd 0.000 0.000 21.435
Tm 0.000 0.000 0.000
Sb 0.000 0.000 14.052
CELL_PARAMETERS angstrom
2.063 1.191 9.368
-2.063 1.191 9.368
0.000 -2.382 9.368
```

Values from the calculation:
Total magnetization (μB/f.u.): 0.0
Density (kg/m3): 6964


Winner for stability: A


A | Entry from Alexandria via LeMat-Bulk: an optimized crystal structure of Nd3TmSb2 (PBE-GGA). Values from VASP.

The structure in Quantum ESPRESSO input format:
```
&SYSTEM
  ibrav = 0, nat = 12, ntyp = 3
/
ATOMIC_SPECIES
Nd 144.24 Nd.upf
Tm 168.93 Tm.upf
Sb 121.76 Sb.upf
ATOMIC_POSITIONS angstrom
Nd 3.606 -3.031 1.991
Nd 0.000 0.000 1.991
Nd 3.606 3.031 1.991
Nd 0.000 4.207 1.991
Nd 0.000 0.000 5.974
Nd 0.000 10.270 1.991
Tm 3.606 0.000 0.000
Tm 0.000 7.239 0.000
Sb 1.321 2.084 0.000
Sb 1.321 -2.084 3.982
Sb 2.285 9.323 0.000
Sb 2.285 5.155 3.982
CELL_PARAMETERS angstrom
-3.606 7.239 3.982
3.606 -7.239 3.982
3.606 7.239 -3.982
```

Values from the calculation:
Total magnetization (μB/f.u.): 0.0
Density (kg/m3): 6751


B | Entry from Alexandria via LeMat-Bulk: an optimized crystal structure of Nd3TmSb2 (PBE-GGA). Values from VASP.

The structure in Quantum ESPRESSO input format:
```
&SYSTEM
  ibrav = 0, nat = 6, ntyp = 3
/
ATOMIC_SPECIES
Nd 144.24 Nd.upf
Tm 168.93 Tm.upf
Sb 121.76 Sb.upf
ATOMIC_POSITIONS angstrom
Nd 0.000 0.000 0.000
Nd 0.000 2.282 5.673
Nd 2.282 0.000 3.104
Tm 2.282 2.282 0.000
Sb 0.000 2.282 2.417
Sb 2.282 0.000 6.360
CELL_PARAMETERS angstrom
4.565 0.000 0.000
0.000 4.565 0.000
0.000 0.000 8.777
```

Values from the calculation:
Total magnetization (μB/f.u.): 0.0
Density (kg/m3): 7675


Winner for stability: B


A | Entry from Alexandria via LeMat-Bulk: an optimized crystal structure of NdTmSb2 (PBE-GGA). Values from VASP.

The structure in Quantum ESPRESSO input format:
```
&SYSTEM
  ibrav = 0, nat = 4, ntyp = 3
/
ATOMIC_SPECIES
Nd 144.24 Nd.upf
Tm 168.93 Tm.upf
Sb 121.76 Sb.upf
ATOMIC_POSITIONS angstrom
Nd 0.000 0.000 0.000
Tm 0.000 0.000 10.836
Sb 0.000 0.000 5.327
Sb 0.000 0.000 16.345
CELL_PARAMETERS angstrom
2.218 1.281 7.224
-2.218 1.281 7.224
0.000 -2.561 7.224
```

Values from the calculation:
Total magnetization (μB/f.u.): 0.0
Density (kg/m3): 7508


B | Entry from Alexandria via LeMat-Bulk: an optimized crystal structure of NdTmSb2 (PBE-GGA). Values from VASP.

The structure in Quantum ESPRESSO input format:
```
&SYSTEM
  ibrav = 0, nat = 4, ntyp = 3
/
ATOMIC_SPECIES
Nd 144.24 Nd.upf
Tm 168.93 Tm.upf
Sb 121.76 Sb.upf
ATOMIC_POSITIONS angstrom
Nd 0.000 0.000 0.000
Tm 0.000 0.000 18.659
Sb 0.000 0.000 9.380
Sb 0.000 0.000 13.020
CELL_PARAMETERS angstrom
2.203 1.272 7.501
-2.203 1.272 7.501
0.000 -2.543 7.501
```

Values from the calculation:
Total magnetization (μB/f.u.): 0.0
Density (kg/m3): 7332


C | Entry from Alexandria via LeMat-Bulk: an optimized crystal structure of NdTmSb2 (PBE-GGA). Values from VASP.

The structure in Quantum ESPRESSO input format:
```
&SYSTEM
  ibrav = 0, nat = 8, ntyp = 3
/
ATOMIC_SPECIES
Nd 144.24 Nd.upf
Tm 168.93 Tm.upf
Sb 121.76 Sb.upf
ATOMIC_POSITIONS angstrom
Nd 0.000 2.550 3.647
Nd 2.208 1.275 10.941
Tm 0.000 0.000 0.000
Tm 0.000 0.000 7.294
Sb 0.000 2.550 9.001
Sb 0.000 2.550 12.881
Sb 2.208 1.275 1.707
Sb 2.208 1.275 5.587
CELL_PARAMETERS angstrom
4.417 0.000 0.000
-2.208 3.825 0.000
0.000 0.000 14.588
```

Values from the calculation:
Total magnetization (μB/f.u.): 0.0
Density (kg/m3): 7502


Winner for stability: A


A | Entry from Alexandria via LeMat-Bulk: an optimized crystal structure of NdUSb2 (PBE-GGA). Values from VASP.

The structure in Quantum ESPRESSO input format:
```
&SYSTEM
  ibrav = 0, nat = 4, ntyp = 3
/
ATOMIC_SPECIES
Nd 144.24 Nd.upf
U 238.03 U.upf
Sb 121.76 Sb.upf
ATOMIC_POSITIONS angstrom
Nd 0.000 0.000 0.000
U 2.881 2.881 0.000
Sb 0.000 2.881 1.645
Sb 2.881 0.000 1.645
CELL_PARAMETERS angstrom
5.761 0.000 0.000
0.000 5.761 0.000
0.000 0.000 3.289
```

Values from the calculation:
Total magnetization (μB/f.u.): 3.3
Density (kg/m3): 9518


B | Entry from Alexandria via LeMat-Bulk: an optimized crystal structure of NdUSb2 (PBE-GGA). Values from VASP.

The structure in Quantum ESPRESSO input format:
```
&SYSTEM
  ibrav = 0, nat = 4, ntyp = 3
/
ATOMIC_SPECIES
Nd 144.24 Nd.upf
U 238.03 U.upf
Sb 121.76 Sb.upf
ATOMIC_POSITIONS angstrom
Nd 0.000 0.000 0.000
U 0.000 0.000 11.161
Sb 0.000 0.000 5.518
Sb 0.000 0.000 16.803
CELL_PARAMETERS angstrom
2.198 1.269 7.441
-2.198 1.269 7.441
0.000 -2.538 7.441
```

Values from the calculation:
Total magnetization (μB/f.u.): 2.6
Density (kg/m3): 8342


Winner for stability: B


A | Entry from Alexandria via LeMat-Bulk: an optimized crystal structure of Nd2YSb (PBE-GGA). Values from VASP.

The structure in Quantum ESPRESSO input format:
```
&SYSTEM
  ibrav = 0, nat = 4, ntyp = 3
/
ATOMIC_SPECIES
Nd 144.24 Nd.upf
Y 88.91 Y.upf
Sb 121.76 Sb.upf
ATOMIC_POSITIONS angstrom
Nd 0.000 2.424 0.000
Nd 2.424 0.000 0.000
Y 0.000 0.000 2.490
Sb 2.424 2.424 2.490
CELL_PARAMETERS angstrom
4.848 0.000 0.000
0.000 4.848 0.000
0.000 0.000 4.980
```

Values from the calculation:
Total magnetization (μB/f.u.): 0.0
Density (kg/m3): 7082


B | Entry from Alexandria via LeMat-Bulk: an optimized crystal structure of Nd2YSb (PBE-GGA). Values from VASP.

The structure in Quantum ESPRESSO input format:
```
&SYSTEM
  ibrav = 0, nat = 8, ntyp = 3
/
ATOMIC_SPECIES
Nd 144.24 Nd.upf
Y 88.91 Y.upf
Sb 121.76 Sb.upf
ATOMIC_POSITIONS angstrom
Nd 2.092 4.428 5.500
Nd 2.092 4.428 9.640
Nd 2.092 -4.428 0.453
Nd 2.092 -4.428 4.593
Y 2.092 0.777 7.570
Y 2.092 -0.777 2.523
Sb 2.092 2.946 2.523
Sb 2.092 -2.946 7.570
CELL_PARAMETERS angstrom
2.092 -6.105 0.000
2.092 6.105 0.000
0.000 0.000 10.093
```

Values from the calculation:
Total magnetization (μB/f.u.): 0.0
Density (kg/m3): 6430


C | Entry from Alexandria via LeMat-Bulk: an optimized crystal structure of Nd2YSb (PBE-GGA). Values from VASP.

The structure in Quantum ESPRESSO input format:
```
&SYSTEM
  ibrav = 0, nat = 4, ntyp = 3
/
ATOMIC_SPECIES
Nd 144.24 Nd.upf
Y 88.91 Y.upf
Sb 121.76 Sb.upf
ATOMIC_POSITIONS angstrom
Nd 0.000 0.000 0.000
Nd 0.000 0.000 5.714
Y 0.000 0.000 12.531
Sb 0.000 0.000 17.371
CELL_PARAMETERS angstrom
2.060 1.189 9.680
-2.060 1.189 9.680
0.000 -2.379 9.680
```

Values from the calculation:
Total magnetization (μB/f.u.): 1.1
Density (kg/m3): 5825


D | Entry from Alexandria via LeMat-Bulk: an optimized crystal structure of Nd2YSb (PBE-GGA). Values from VASP.

The structure in Quantum ESPRESSO input format:
```
&SYSTEM
  ibrav = 0, nat = 4, ntyp = 3
/
ATOMIC_SPECIES
Nd 144.24 Nd.upf
Y 88.91 Y.upf
Sb 121.76 Sb.upf
ATOMIC_POSITIONS angstrom
Nd 0.000 0.000 1.575
Nd 0.000 0.000 5.236
Y 2.133 2.133 3.405
Sb 2.133 2.133 0.000
CELL_PARAMETERS angstrom
4.267 0.000 0.000
0.000 4.267 0.000
0.000 0.000 6.811
```

Values from the calculation:
Total magnetization (μB/f.u.): 0.0
Density (kg/m3): 6685


Winner for stability: B


A | Entry from Alexandria via LeMat-Bulk: an optimized crystal structure of NdY3Sb3 (PBE-GGA). Values from VASP.

The structure in Quantum ESPRESSO input format:
```
&SYSTEM
  ibrav = 0, nat = 28, ntyp = 3
/
ATOMIC_SPECIES
Nd 144.24 Nd.upf
Y 88.91 Y.upf
Sb 121.76 Sb.upf
ATOMIC_POSITIONS angstrom
Nd 0.648 3.998 5.294
Nd 3.998 5.294 0.648
Nd 5.294 0.648 3.998
Nd 8.644 8.644 8.644
Y 0.700 5.346 8.593
Y 1.662 7.630 2.984
Y 1.675 1.675 1.675
Y 2.971 7.618 6.321
Y 2.984 1.662 7.630
Y 3.947 3.947 3.947
Y 5.346 8.593 0.700
Y 6.308 6.308 6.308
Y 6.321 2.971 7.618
Y 7.618 6.321 2.971
Y 7.630 2.984 1.662
Y 8.593 0.700 5.346
Sb 0.013 2.377 8.161
Sb 1.132 4.659 2.269
Sb 2.269 1.132 4.659
Sb 2.377 8.161 0.013
Sb 3.514 4.634 6.916
Sb 4.634 6.916 3.514
Sb 4.659 2.269 1.132
Sb 5.778 9.280 7.023
Sb 6.916 3.514 4.634
Sb 7.023 5.778 9.280
Sb 8.161 0.013 2.377
Sb 9.280 7.023 5.778
CELL_PARAMETERS angstrom
9.292 0.000 0.000
0.000 9.292 0.000
0.000 0.000 9.292
```

Values from the calculation:
Total magnetization (μB/f.u.): 0.0
Density (kg/m3): 6426


B | Entry from Alexandria via LeMat-Bulk: an optimized crystal structure of NdY3Sb3 (PBE-GGA). Values from VASP.

The structure in Quantum ESPRESSO input format:
```
&SYSTEM
  ibrav = 0, nat = 14, ntyp = 3
/
ATOMIC_SPECIES
Nd 144.24 Nd.upf
Y 88.91 Y.upf
Sb 121.76 Sb.upf
ATOMIC_POSITIONS angstrom
Nd 0.000 0.000 3.064
Nd 0.000 0.000 15.401
Y -1.199 -2.119 7.660
Y -2.434 -0.021 10.805
Y -1.236 2.097 7.660
Y 1.236 -2.097 10.805
Y 2.434 0.021 7.660
Y 1.199 2.119 10.805
Sb -3.455 -0.031 7.718
Sb -1.701 -3.008 10.747
Sb 1.754 -2.977 7.718
Sb -1.754 2.977 10.747
Sb 1.701 3.008 7.718
Sb 3.455 0.031 10.747
CELL_PARAMETERS angstrom
4.559 2.632 6.155
-4.559 2.632 6.155
0.000 -5.265 6.155
```

Values from the calculation:
Total magnetization (μB/f.u.): 0.0
Density (kg/m3): 5816


Winner for stability: A